A plane-wave DFT calculation with GGA-PBE was carried out for crystalline Th4NiPd2 at its relaxed geometry.

Computed properties:
- VASP energy (eV/atom) = -6.8756
- total magnetization (μB/f.u.) = 0.00
- ΔE_f (meV/atom) = -326
- space group = Cmmm, No. 65
- ΔE to the lowest computed polymorph (eV per atom) = 0.119

Cell lengths 5.1546, 6.0809, 6.0809 Å; angles 107.78, 90.00, 90.00 degrees
Closest atoms and distances in Å follow each position.
Fractional positions:
Th: 0.5000 0.5000 0.0000  2 Ni 3.04, 4 Pd 3.14
Th: 0.5000 0.0000 0.5000  2 Ni 3.04, 4 Pd 3.14
Th: 0.0000 0.7348 0.7348  4 Pd 2.97-3.12, 2 Ni 3.08
Th: 0.0000 0.2652 0.2652  4 Pd 2.97-3.12, 2 Ni 3.08
Ni: 0.5000 0.5000 0.5000  8 Th 3.04-3.08
Pd: 0.0000 0.2321 0.7679  8 Th 2.97-3.14
Pd: 0.0000 0.7679 0.2321  8 Th 2.97-3.14

***

A plane-wave DFT calculation with GGA-PBE was carried out for crystalline Th4NiPd2 at its relaxed geometry.

Computed properties:
- VASP energy (eV/atom) = -6.9951
- total magnetization (μB/f.u.) = 0.00
- ΔE_f (meV/atom) = -446
- space group = C2/m, No. 12
- ΔE to the lowest computed polymorph (eV per atom) = 0.000

Cell lengths 4.6475, 5.9431, 7.2103 Å; angles 105.71, 108.80, 90.00 degrees
Closest atoms and distances in Å follow each position.
Fractional positions:
Th: 0.4235 0.7098 0.8470  2 Ni 2.90, 3 Pd 3.03-3.06
Th: 0.1481 0.7871 0.2962  1 Ni 2.67
Th: 0.5765 0.2902 0.1530  2 Ni 2.90, 3 Pd 3.03-3.06
Th: 0.8519 0.2129 0.7038  1 Ni 2.67
Pd: 0.2250 0.3180 0.4499  7 Th 3.03-3.25, 1 Ni 3.11, 2 Pd 3.11
Pd: 0.7750 0.6820 0.5501  7 Th 3.03-3.25, 1 Ni 3.11, 2 Pd 3.11
Ni: 0.0000 0.0000 0.0000  6 Th 2.67-2.90

***

A plane-wave DFT calculation with GGA-PBE was carried out for crystalline TmThNiPd at its relaxed geometry.

Computed properties:
- VASP energy (eV/atom) = -6.2748
- total magnetization (μB/f.u.) = 0.00
- ΔE_f (meV/atom) = -558
- space group = F-43m, No. 216
- ΔE to the lowest computed polymorph (eV per atom) = 0.113

Cell lengths 4.9567, 4.9567, 4.9567 Å; angles 60.00, 60.00, 60.00 degrees
Closest atoms and distances in Å follow each position.
Fractional positions:
Th: 0.0000 0.0000 0.0000  4 Ni 3.04, 4 Pd 3.04
Pd: 0.2500 0.2500 0.2500  4 Th 3.04, 4 Tm 3.04
Tm: 0.5000 0.5000 0.5000  4 Pd 3.04, 4 Ni 3.04
Ni: 0.7500 0.7500 0.7500  4 Tm 3.04, 4 Th 3.04

***

A plane-wave DFT calculation with GGA-PBE was carried out for crystalline TmThNiPd at its relaxed geometry.

Computed properties:
- VASP energy (eV/atom) = -6.3874
- total magnetization (μB/f.u.) = 0.00
- ΔE_f (meV/atom) = -671
- space group = Amm2, No. 38
- ΔE to the lowest computed polymorph (eV per atom) = 0.000

Cell lengths 3.7345, 4.2366, 5.8535 Å; angles 90.00, 108.60, 90.00 degrees
Closest atoms and distances in Å follow each position.
Fractional positions:
Pd: 0.5846 0.5000 0.1693  4 Tm 2.90, 2 Ni 2.90, 3 Th 3.06-3.13
Tm: 0.1428 0.0000 0.2856  4 Pd 2.90, 3 Ni 2.92-3.22
Ni: 0.4063 0.0000 0.8125  4 Th 2.86, 2 Pd 2.90, 1 Tm 2.92
Th: 0.8663 0.5000 0.7326  4 Ni 2.86, 3 Pd 3.06-3.13

***

A plane-wave DFT calculation with GGA-PBE was carried out for crystalline Ti5Ni3Pd at its relaxed geometry.

Computed properties:
- VASP energy (eV/atom) = -7.1885
- total magnetization (μB/f.u.) = 1.87
- ΔE_f (meV/atom) = -298
- space group = P6_3/mcm, No. 193

Cell lengths 5.3320, 7.5332, 7.5333 Å; angles 120.00, 90.00, 90.00 degrees
Closest atoms and distances in Å follow each position.
Fractional positions:
Ni: 0.7500 0.3461 0.3461  5 Ti 2.50-2.67
Ni: 0.2500 0.6539 0.6539  5 Ti 2.50-2.67
Ni: 0.2500 0.0000 0.3461  5 Ti 2.50-2.67
Ni: 0.7500 0.6538 0.0000  5 Ti 2.50-2.67
Ni: 0.7500 0.0000 0.6539  5 Ti 2.50-2.67
Ni: 0.2500 0.3462 0.0000  5 Ti 2.50-2.67
Ti: 0.2500 0.6777 0.0000  5 Ni 2.50-2.67, 2 Pd 2.77
Ti: 0.5000 0.6666 0.3333  8 Ti 2.67-2.88, 6 Ni 2.80
Ti: 0.2500 0.0000 0.6776  5 Ni 2.50-2.67, 2 Pd 2.77
Ti: 0.7500 0.6776 0.6776  5 Ni 2.50-2.67, 2 Pd 2.77
Ti: 0.0000 0.3334 0.6667  8 Ti 2.67-2.88, 6 Ni 2.80
Ti: 0.5000 0.3334 0.6667  8 Ti 2.67-2.88, 6 Ni 2.80
Ti: 0.7500 0.3223 0.0000  5 Ni 2.50-2.67, 2 Pd 2.77
Ti: 0.2500 0.3224 0.3224  5 Ni 2.50-2.67, 2 Pd 2.77
Ti: 0.7500 0.0000 0.3224  5 Ni 2.50-2.67, 2 Pd 2.77
Ti: 0.0000 0.6666 0.3333  8 Ti 2.67-2.88, 6 Ni 2.80
Pd: 0.0000 0.0000 0.0000  2 Pd 2.67, 6 Ti 2.77, 6 Ni 2.93
Pd: 0.5000 0.0000 0.0000  2 Pd 2.67, 6 Ti 2.77, 6 Ni 2.93

***

A plane-wave DFT calculation with GGA-PBE was carried out for crystalline TiNiPd at its relaxed geometry.

Computed properties:
- VASP energy (eV/atom) = -6.8128
- total magnetization (μB/f.u.) = 0.00
- ΔE_f (meV/atom) = -523
- space group = C2/m, No. 12
- ΔE to the lowest computed polymorph (eV per atom) = 0.000

Cell lengths 4.7409, 3.0163, 6.6829 Å; angles 90.02, 110.18, 71.46 degrees
Closest atoms and distances in Å follow each position.
Fractional positions:
Ti: 0.0222 0.4892 0.2386  4 Ni 2.46-2.58, 3 Pd 2.66-2.69
Ti: 0.9778 0.5108 0.7614  4 Ni 2.46-2.58, 3 Pd 2.66-2.69
Ni: 0.3028 0.8483 0.0481  4 Ti 2.46-2.58, 3 Ni 2.56-2.58, 2 Pd 2.73
Ni: 0.6972 0.1517 0.9519  4 Ti 2.46-2.58, 3 Ni 2.56-2.58, 2 Pd 2.73
Pd: 0.6648 0.1675 0.3899  5 Ti 2.66-2.81, 2 Ni 2.73, 3 Pd 2.83-2.87
Pd: 0.3352 0.8325 0.6101  5 Ti 2.66-2.81, 2 Ni 2.73, 3 Pd 2.83-2.87

***

A plane-wave DFT calculation with GGA-PBE was carried out for crystalline Ti4Ni3Pd at its relaxed geometry.

Computed properties:
- VASP energy (eV/atom) = -7.1348
- total magnetization (μB/f.u.) = 0.64
- ΔE_f (meV/atom) = -370
- space group = R-3m, No. 166

Cell lengths 4.3174, 4.3174, 7.4792 Å; angles 73.22, 73.22, 60.00 degrees
Closest atoms and distances in Å follow each position.
Fractional positions:
Ti: 0.8692 0.8692 0.3925  7 Ni 2.61-2.75, 1 Pd 2.77, 3 Ti 2.92
Ti: 0.6184 0.6184 0.1448  5 Ni 2.50-2.64, 3 Pd 2.69
Ti: 0.3816 0.3816 0.8552  5 Ni 2.50-2.64, 3 Pd 2.69
Ti: 0.1308 0.1308 0.6075  7 Ni 2.61-2.75, 1 Pd 2.77, 3 Ti 2.92
Pd: 0.0000 0.0000 0.0000  8 Ti 2.69-2.77, 6 Ni 2.97
Ni: 0.7431 0.7431 0.7707  8 Ti 2.56-2.75
Ni: 0.5000 0.5000 0.5000  8 Ti 2.50-2.61
Ni: 0.2569 0.2569 0.2293  8 Ti 2.56-2.75

***

A plane-wave DFT calculation with GGA-PBE was carried out for crystalline Ti2NiPd2 at its relaxed geometry.

Computed properties:
- VASP energy (eV/atom) = -6.6952
- total magnetization (μB/f.u.) = 0.00
- ΔE_f (meV/atom) = -304
- space group = P4/mbm, No. 127
- ΔE to the lowest computed polymorph (eV per atom) = 0.132

Cell lengths 7.1299, 7.1299, 3.0857 Å; angles 90.00, 90.00, 90.00 degrees
Closest atoms and distances in Å follow each position.
Fractional positions:
Ti: 0.3293 0.1707 0.5000  6 Pd 2.50-2.68
Ti: 0.8293 0.3293 0.5000  6 Pd 2.50-2.68
Ti: 0.1707 0.6707 0.5000  6 Pd 2.50-2.68
Ti: 0.6707 0.8293 0.5000  6 Pd 2.50-2.68
Ni: 0.0000 0.0000 0.0000  4 Pd 2.78, 8 Ti 3.06, 2 Ni 3.09
Ni: 0.5000 0.5000 0.0000  4 Pd 2.78, 8 Ti 3.06, 2 Ni 3.09
Pd: 0.3657 0.8657 0.0000  6 Ti 2.50-2.68, 1 Pd 2.71, 2 Ni 2.78
Pd: 0.8657 0.6343 0.0000  6 Ti 2.50-2.68, 1 Pd 2.71, 2 Ni 2.78
Pd: 0.6343 0.1343 0.0000  6 Ti 2.50-2.68, 1 Pd 2.71, 2 Ni 2.78
Pd: 0.1343 0.3657 0.0000  6 Ti 2.50-2.68, 1 Pd 2.71, 2 Ni 2.78

***

A plane-wave DFT calculation with GGA-PBE was carried out for crystalline TiNi4Pd at its relaxed geometry.

Computed properties:
- VASP energy (eV/atom) = -6.3525
- total magnetization (μB/f.u.) = 0.87
- ΔE_f (meV/atom) = -317
- space group = F-43m, No. 216
- ΔE to the lowest computed polymorph (eV per atom) = 0.000

Cell lengths 4.7166, 4.7166, 4.7166 Å; angles 60.00, 60.00, 60.00 degrees
Closest atoms and distances in Å follow each position.
Fractional positions:
Ti: 0.2500 0.2500 0.2500  12 Ni 2.77, 4 Pd 2.89
Ni: 0.6251 0.1246 0.6251  6 Ni 2.36
Ni: 0.6251 0.6251 0.1246  6 Ni 2.36
Ni: 0.6251 0.6251 0.6251  6 Ni 2.36
Ni: 0.1246 0.6251 0.6251  6 Ni 2.36
Pd: 0.0000 0.0000 0.0000  12 Ni 2.77, 4 Ti 2.89

***

A plane-wave DFT calculation with GGA-PBE was carried out for crystalline TiNiPd at its relaxed geometry.

Computed properties:
- VASP energy (eV/atom) = -6.6159
- total magnetization (μB/f.u.) = 0.00
- ΔE_f (meV/atom) = -326
- space group = Cmcm, No. 63
- ΔE to the lowest computed polymorph (eV per atom) = 0.197

Cell lengths 3.7297, 4.6435, 5.4776 Å; angles 90.00, 90.00, 113.68 degrees
Closest atoms and distances in Å follow each position.
Fractional positions:
Ti: 0.5000 0.0000 0.5000  4 Ni 2.56, 2 Ti 2.74, 4 Pd 2.74
Ti: 0.5000 0.0000 0.0000  4 Ni 2.56, 2 Ti 2.74, 4 Pd 2.74
Ni: 0.8722 0.7445 0.2500  5 Pd 2.52-2.77, 4 Ti 2.56
Ni: 0.1278 0.2555 0.7500  5 Pd 2.52-2.77, 4 Ti 2.56
Pd: 0.8265 0.6530 0.7500  5 Ni 2.52-2.77, 4 Ti 2.74
Pd: 0.1735 0.3470 0.2500  5 Ni 2.52-2.77, 4 Ti 2.74

***

A plane-wave DFT calculation with GGA-PBE was carried out for crystalline Ti7Ni4Pd at its relaxed geometry.

Computed properties:
- VASP energy (eV/atom) = -7.1011
- total magnetization (μB/f.u.) = 0.00
- ΔE_f (meV/atom) = -136
- space group = C2/m, No. 12

Cell lengths 4.6726, 6.9574, 6.5321 Å; angles 70.37, 69.04, 70.38 degrees
Closest atoms and distances in Å follow each position.
Fractional positions:
Ti: 0.2724 0.6932 0.7620  4 Ni 2.37-2.63
Ti: 0.2270 0.0885 0.4575  6 Ti 2.60-2.90, 2 Ni 2.74-2.75
Ti: 0.9378 0.3981 0.7263  3 Ni 2.41-2.53
Ti: 0.0622 0.6019 0.2737  3 Ni 2.41-2.53
Ti: 0.7730 0.9115 0.5425  6 Ti 2.60-2.90, 2 Ni 2.74-2.75
Ti: 0.5000 0.0000 0.0000  2 Pd 2.34, 2 Ni 2.42
Ti: 0.7276 0.3068 0.2380  4 Ni 2.37-2.63
Ni: 0.4653 0.6969 0.3726  4 Ti 2.37-2.63, 1 Ni 2.59
Ni: 0.6967 0.6404 0.9662  5 Ti 2.40-2.63, 1 Ni 2.59
Ni: 0.3033 0.3596 0.0338  5 Ti 2.40-2.63, 1 Ni 2.59
Ni: 0.5347 0.3031 0.6274  4 Ti 2.37-2.63, 1 Ni 2.59
Pd: 0.0000 0.0000 0.0000  2 Ti 2.34